Below is a geometry-optimized MgSc2Cl structure, with properties calculated at the PBE level.

CIF file:
```
data_MgSc2Cl
_cell_length_a 3.3808
_cell_length_b 3.3808
_cell_length_c 28.0858
_cell_angle_alpha 90.00
_cell_angle_beta 90.00
_cell_angle_gamma 120.00
_space_group_name_H-M_alt 'R 3 m'
_space_group_IT_number 160
_space_group_name_Hall 'R 3 -2"'
loop_
_atom_site_label
_atom_site_fract_x
_atom_site_fract_y
_atom_site_fract_z
_atom_site_occupancy
Mg1 0.0000 0.0000 0.0000 1
Sc1 0.0000 0.0000 0.2446 1
Sc2 0.0000 0.0000 0.4895 1
Cl1 0.0000 0.0000 0.7577 1
```

Values from the calculation:
The calculation puts the energy above the lowest structure with this stoichiometry at 0.000 eV per atom. Its total moment is 0.6 μB/cell.

Below is a geometry-optimized Sr2Li3RhF12 structure, with properties calculated at the PBE level.

CIF file:
```
data_Sr2Li3RhF12
_cell_length_a 6.7790
_cell_length_b 6.7790
_cell_length_c 19.4633
_cell_angle_alpha 90.00
_cell_angle_beta 90.00
_cell_angle_gamma 120.00
_space_group_name_H-M_alt 'R -3 m'
_space_group_IT_number 166
_space_group_name_Hall '-R 3 2"'
loop_
_atom_site_label
_atom_site_fract_x
_atom_site_fract_y
_atom_site_fract_z
_atom_site_occupancy
Sr1 0.0000 0.0000 0.0930 1
Li1 0.0000 0.5000 0.0000 1
Rh1 0.0000 0.0000 0.5000 1
F1 0.0255 0.5127 0.3716 1
F2 0.0579 0.5290 0.1135 1
```

Values from the calculation:
Its total moment is 6.4 μB/cell. The uncorrected energy is -254.60 eV/cell.

Below is a geometry-optimized KNaMg14 structure, with properties calculated at the PBE level.

CIF file:
```
data_KNaMg14
_cell_length_a 10.8867
_cell_length_b 6.3849
_cell_length_c 11.6049
_cell_angle_alpha 90.00
_cell_angle_beta 90.00
_cell_angle_gamma 90.00
_space_group_name_H-M_alt 'A m m 2'
_space_group_IT_number 38
_space_group_name_Hall 'A 2 -2'
loop_
_atom_site_label
_atom_site_fract_x
_atom_site_fract_y
_atom_site_fract_z
_atom_site_occupancy
K1 0.0000 0.0000 0.0000 1
Na1 0.0000 0.0000 0.4983 1
Mg1 0.0000 0.2471 0.2507 1
Mg2 0.2486 0.0000 0.6664 1
Mg3 0.2593 0.0000 0.1682 1
Mg4 0.2676 0.2479 0.4110 1
Mg5 0.5000 0.0000 0.0028 1
Mg6 0.5000 0.0000 0.5039 1
Mg7 0.5000 0.2486 0.7482 1
```

Values from the calculation:
The calculation puts the energy above the lowest structure with this stoichiometry at 0.000 eV per atom. Its total moment is 0.0 μB/cell.

Below is a geometry-optimized K3U2NiSe6 structure, with properties calculated at the PBE level.

CIF file:
```
data_K3U2NiSe6
_cell_length_a 7.1817
_cell_length_b 12.2033
_cell_length_c 8.0572
_cell_angle_alpha 90.00
_cell_angle_beta 107.47
_cell_angle_gamma 90.00
_space_group_name_H-M_alt 'C 1 2/m 1'
_space_group_IT_number 12
_space_group_name_Hall '-C 2y'
loop_
_atom_site_label
_atom_site_fract_x
_atom_site_fract_y
_atom_site_fract_z
_atom_site_occupancy
K1 0.0000 0.0000 0.0000 1
K2 0.0000 0.3323 0.0000 1
U1 0.0000 0.1670 0.5000 1
Ni1 0.0000 0.5000 0.5000 1
Se1 0.2257 0.3410 0.6950 1
Se2 0.2335 0.0000 0.7050 1
```

Values from the calculation:
Its total moment is 8.2 μB/cell. The uncorrected energy is -129.20 eV/cell.

Below is a geometry-optimized Na4SbPb2 structure, with properties calculated at the PBE level.

CIF file:
```
data_Na4SbPb2
_cell_length_a 6.0483
_cell_length_b 6.0483
_cell_length_c 15.1845
_cell_angle_alpha 90.00
_cell_angle_beta 90.00
_cell_angle_gamma 90.00
_space_group_name_H-M_alt 'I 4/m m m'
_space_group_IT_number 139
_space_group_name_Hall '-I 4 2'
loop_
_atom_site_label
_atom_site_fract_x
_atom_site_fract_y
_atom_site_fract_z
_atom_site_occupancy
Na1 0.0000 0.0000 0.1956 1
Na2 0.0000 0.5000 0.0000 1
Sb1 0.0000 0.0000 0.0000 1
Pb1 0.0000 0.0000 0.4036 1
```

Values from the calculation:
Its total moment is 0.0 μB/cell. The uncorrected energy is -33.04 eV/cell.

Below is a geometry-optimized Ru2PbW structure, with properties calculated at the PBE level.

CIF file:
```
data_Ru2PbW
_cell_length_a 2.9815
_cell_length_b 2.9815
_cell_length_c 7.6275
_cell_angle_alpha 90.00
_cell_angle_beta 90.00
_cell_angle_gamma 90.00
_space_group_name_H-M_alt 'P 4 m m'
_space_group_IT_number 99
_space_group_name_Hall 'P 4 -2'
loop_
_atom_site_label
_atom_site_fract_x
_atom_site_fract_y
_atom_site_fract_z
_atom_site_occupancy
Ru1 0.0000 0.0000 0.0000 1
Ru2 0.5000 0.5000 0.2313 1
Pb1 0.5000 0.5000 0.7434 1
W1 0.0000 0.0000 0.4475 1
```

Values from the calculation:
Its total moment is 0.0 μB/cell. The uncorrected energy is -32.72 eV/cell.

Below is a geometry-optimized CdAgHSe2 structure, with properties calculated at the PBE level.

CIF file:
```
data_CdAgHSe2
_cell_length_a 4.8962
_cell_length_b 4.8962
_cell_length_c 3.7799
_cell_angle_alpha 90.00
_cell_angle_beta 90.00
_cell_angle_gamma 90.00
_space_group_name_H-M_alt 'P 4/m m m'
_space_group_IT_number 123
_space_group_name_Hall '-P 4 2'
loop_
_atom_site_label
_atom_site_fract_x
_atom_site_fract_y
_atom_site_fract_z
_atom_site_occupancy
Cd1 0.0000 0.0000 0.0000 1
Ag1 0.5000 0.5000 0.0000 1
H1 0.5000 0.5000 0.5000 1
Se1 0.0000 0.5000 0.5000 1
```

Values from the calculation:
The calculation puts the energy above the lowest structure with this stoichiometry at 0.000 eV per atom. Its total moment is 0.0 μB/cell.

Below is a geometry-optimized DyMg3Ni8 structure, with properties calculated at the PBE level.

CIF file:
```
data_DyMg3Ni8
_cell_length_a 4.8893
_cell_length_b 4.8893
_cell_length_c 23.9354
_cell_angle_alpha 90.00
_cell_angle_beta 90.00
_cell_angle_gamma 120.00
_space_group_name_H-M_alt 'R 3 m'
_space_group_IT_number 160
_space_group_name_Hall 'R 3 -2"'
loop_
_atom_site_label
_atom_site_fract_x
_atom_site_fract_y
_atom_site_fract_z
_atom_site_occupancy
Dy1 0.0000 0.0000 0.0000 1
Mg1 0.0000 0.0000 0.1281 1
Mg2 0.0000 0.0000 0.4974 1
Mg3 0.0000 0.0000 0.6179 1
Ni1 0.0000 0.0000 0.3112 1
Ni2 0.0000 0.0000 0.8118 1
Ni3 0.0003 0.5001 0.0631 1
Ni4 0.1678 0.3356 0.8938 1
```

Values from the calculation:
Its total moment is 0.0 μB/cell. The uncorrected energy is -177.67 eV/cell.

Below is a geometry-optimized PrHo5Se6 structure, with properties calculated at the PBE level.

CIF file:
```
data_PrHo5Se6
_cell_length_a 7.0609
_cell_length_b 12.2903
_cell_length_c 7.0984
_cell_angle_alpha 90.00
_cell_angle_beta 109.38
_cell_angle_gamma 90.00
_space_group_name_H-M_alt 'C 1 2/m 1'
_space_group_IT_number 12
_space_group_name_Hall '-C 2y'
loop_
_atom_site_label
_atom_site_fract_x
_atom_site_fract_y
_atom_site_fract_z
_atom_site_occupancy
Pr1 0.0000 0.0000 0.0000 1
Ho1 0.0000 0.1579 0.5000 1
Ho2 0.0000 0.3350 0.0000 1
Ho3 0.0000 0.5000 0.5000 1
Se1 0.2386 0.5000 0.2517 1
Se2 0.2413 0.3267 0.7418 1
```

Values from the calculation:
Its total moment is 0.0 μB/cell. The uncorrected energy is -138.97 eV/cell.

Below is a geometry-optimized CePa6 structure, with properties calculated at the PBE level.

CIF file:
```
data_CePa6
_cell_length_a 7.6840
_cell_length_b 7.6840
_cell_length_c 7.6840
_cell_angle_alpha 90.00
_cell_angle_beta 90.00
_cell_angle_gamma 90.00
_space_group_name_H-M_alt 'I m -3 m'
_space_group_IT_number 229
_space_group_name_Hall '-I 4 2 3'
loop_
_atom_site_label
_atom_site_fract_x
_atom_site_fract_y
_atom_site_fract_z
_atom_site_occupancy
Ce1 0.0000 0.0000 0.0000 1
Pa1 0.0000 0.2500 0.5000 1
```

Values from the calculation:
The calculation puts the energy above the lowest structure with this stoichiometry at 1.190 eV per atom. Its total moment is 16.0 μB/cell.

Below is a geometry-optimized RbTe2W structure, with properties calculated at the PBE level.

CIF file:
```
data_RbTe2W
_cell_length_a 3.7697
_cell_length_b 3.7697
_cell_length_c 32.1971
_cell_angle_alpha 90.00
_cell_angle_beta 90.00
_cell_angle_gamma 120.00
_space_group_name_H-M_alt 'R -3 m'
_space_group_IT_number 166
_space_group_name_Hall '-R 3 2"'
loop_
_atom_site_label
_atom_site_fract_x
_atom_site_fract_y
_atom_site_fract_z
_atom_site_occupancy
Rb1 0.0000 0.0000 0.0000 1
Te1 0.0000 0.0000 0.1129 1
W1 0.0000 0.0000 0.5000 1
```

Values from the calculation:
The calculation puts the energy above the lowest structure with this stoichiometry at 0.000 eV per atom. Its total moment is 0.0 μB/cell.

Below is a geometry-optimized AcPm12In3 structure, with properties calculated at the PBE level.

CIF file:
```
data_AcPm12In3
_cell_length_a 4.9962
_cell_length_b 4.9962
_cell_length_c 20.4545
_cell_angle_alpha 90.00
_cell_angle_beta 90.00
_cell_angle_gamma 90.00
_space_group_name_H-M_alt 'P 4/m m m'
_space_group_IT_number 123
_space_group_name_Hall '-P 4 2'
loop_
_atom_site_label
_atom_site_fract_x
_atom_site_fract_y
_atom_site_fract_z
_atom_site_occupancy
Ac1 0.0000 0.0000 0.0000 1
Pm1 0.0000 0.5000 0.1365 1
Pm2 0.0000 0.5000 0.3790 1
Pm3 0.5000 0.5000 0.0000 1
Pm4 0.5000 0.5000 0.2592 1
Pm5 0.5000 0.5000 0.5000 1
In1 0.0000 0.0000 0.2583 1
In2 0.0000 0.0000 0.5000 1
```

Values from the calculation:
Its total moment is 0.0 μB/cell. The uncorrected energy is -72.27 eV/cell.

- The highest total moment belongs to which entry?
  CePa6